[1]
Here is a geometry-optimized Mg2Pb structure from Alexandria via LeMat-Bulk. Energies are from GGA-PBEsol.

## Properties
formation energy: -0.03 eV per atom
total energy: -2.507 eV/atom

Unit cell a=3.376 b=5.018 c=5.018 alpha=64.13 beta=79.72 gamma=79.72
Fractional positions:
Pb (0.000, 0.000, 0.000)
Mg (0.276, 0.326, 0.326)
Mg (0.724, 0.674, 0.674)



[2]
Here is a geometry-optimized Mg5Pb4 structure from Alexandria via LeMat-Bulk. Energies are from GGA-PBEsol.

## Properties
formation energy: -0.05 eV per atom
total energy: -2.777 eV/atom
energy relative to the lowest polymorph listed for this composition: 10 meV per atom

Unit cell a=6.247 b=9.112 c=9.112 alpha=120.00 beta=90.00 gamma=90.00
Fractional positions:
Mg (0.750, 0.000, 0.698)
Mg (0.750, 0.698, 0.000)
Mg (0.750, 0.302, 0.302)
Mg (0.250, 0.000, 0.302)
Mg (0.250, 0.302, 0.000)
Mg (0.250, 0.698, 0.698)
Mg (0.000, 0.333, 0.667)
Mg (0.500, 0.667, 0.333)
Mg (0.000, 0.667, 0.333)
Mg (0.500, 0.333, 0.667)
Pb (0.000, 0.000, 0.000)
Pb (0.500, 0.000, 0.000)
Pb (0.750, 0.000, 0.371)
Pb (0.750, 0.371, 0.000)
Pb (0.750, 0.629, 0.629)
Pb (0.250, 0.000, 0.629)
Pb (0.250, 0.629, 0.000)
Pb (0.250, 0.371, 0.371)



[3]
Here is a geometry-optimized Mg2Pb structure from Alexandria via LeMat-Bulk. Energies are from GGA-PBEsol.

## Properties
formation energy: 0.03 eV per atom
total energy: -2.446 eV/atom

Unit cell a=3.368 b=3.368 c=13.891 alpha=96.96 beta=96.96 gamma=90.00
Fractional positions:
Mg (0.672, 0.172, 0.344)
Mg (0.828, 0.328, 0.656)
Mg (0.422, 0.422, 0.844)
Mg (0.578, 0.578, 0.156)
Pb (0.000, 0.000, 0.000)
Pb (0.250, 0.750, 0.500)



[4]
Here is a geometry-optimized Mg2Pb3 structure from Alexandria via LeMat-Bulk. Energies are from GGA-PBEsol.

## Properties
formation energy: -0.03 eV per atom
total energy: -3.118 eV/atom
energy relative to the lowest polymorph listed for this composition: 0 meV per atom

Unit cell a=3.422 b=3.422 c=13.291 alpha=82.60 beta=82.60 gamma=60.00
Fractional positions:
Pb (0.000, 0.000, 0.000)
Pb (0.796, 0.796, 0.612)
Pb (0.204, 0.204, 0.388)
Mg (0.398, 0.398, 0.807)
Mg (0.602, 0.602, 0.193)



[5]
Here is a geometry-optimized MgPb5 structure from Alexandria via LeMat-Bulk. Energies are from GGA-PBEsol.

## Properties
formation energy: 0.01 eV per atom
total energy: -3.610 eV/atom
energy relative to the lowest polymorph listed for this composition: 32 meV per atom

Unit cell a=5.940 b=5.940 c=6.599 alpha=63.25 beta=63.25 gamma=60.00
Fractional positions:
Mg (0.500, 0.500, 0.500)
Pb (0.663, 0.000, 0.000)
Pb (0.000, 0.337, 0.000)
Pb (0.337, 0.663, 0.000)
Pb (0.837, 0.837, 0.490)
Pb (0.163, 0.163, 0.510)



[6]
Here is a geometry-optimized MgPb2 structure from Alexandria via LeMat-Bulk. Energies are from GGA-PBEsol.

## Properties
formation energy: -0.02 eV per atom
total energy: -3.253 eV/atom
energy relative to the lowest polymorph listed for this composition: 33 meV per atom

Unit cell a=3.471 b=3.471 c=15.717 alpha=90.00 beta=90.00 gamma=120.00
Fractional positions:
Pb (0.667, 0.333, 0.182)
Pb (0.000, 0.000, 0.000)
Pb (0.667, 0.333, 0.818)
Pb (0.667, 0.333, 0.500)
Mg (0.000, 0.000, 0.660)
Mg (0.000, 0.000, 0.340)



[7]
Here is a geometry-optimized Mg5Pb structure from Alexandria via LeMat-Bulk. Energies are from GGA-PBEsol.

## Properties
formation energy: 0.04 eV per atom
total energy: -2.059 eV/atom
energy relative to the lowest polymorph listed for this composition: 90 meV per atom

Unit cell a=5.887 b=5.887 c=5.887 alpha=60.00 beta=60.00 gamma=60.00
Fractional positions:
Pb (0.000, 0.000, 0.000)
Mg (0.250, 0.250, 0.250)
Mg (0.625, 0.126, 0.625)
Mg (0.625, 0.625, 0.126)
Mg (0.625, 0.625, 0.625)
Mg (0.126, 0.625, 0.625)



[8]
Here is a geometry-optimized Mg3Pb4 structure from Alexandria via LeMat-Bulk. Energies are from GGA-PBEsol.

## Properties
formation energy: 0.01 eV per atom
total energy: -3.007 eV/atom
energy relative to the lowest polymorph listed for this composition: 46 meV per atom

Unit cell a=5.901 b=5.901 c=6.204 alpha=90.00 beta=90.00 gamma=120.00
Fractional positions:
Pb (0.000, 0.000, 0.748)
Pb (0.000, 0.000, 0.252)
Pb (0.333, 0.667, 0.500)
Pb (0.667, 0.333, 0.500)
Mg (0.000, 0.500, 0.000)
Mg (0.500, 0.000, 0.000)
Mg (0.500, 0.500, 0.000)



[9]
Here is a geometry-optimized Mg2Pb structure from Alexandria via LeMat-Bulk. Energies are from GGA-PBEsol.

## Properties
formation energy: -0.04 eV per atom
total energy: -2.516 eV/atom

Unit cell a=3.368 b=3.368 c=6.918 alpha=104.09 beta=104.09 gamma=90.00
Fractional positions:
Pb (0.000, 0.000, 0.000)
Mg (0.669, 0.669, 0.338)
Mg (0.331, 0.331, 0.662)



[10]
Here is a geometry-optimized Mg3Pb structure from Alexandria via LeMat-Bulk. Energies are from GGA-PBEsol.

## Properties
formation energy: -0.06 eV per atom
total energy: -2.343 eV/atom

Unit cell a=5.313 b=5.639 c=6.321 alpha=90.00 beta=90.00 gamma=90.00
Fractional positions:
Mg (0.500, 0.335, 0.000)
Mg (0.000, 0.162, 0.749)
Mg (0.500, 0.838, 0.751)
Mg (0.000, 0.665, 0.500)
Mg (0.000, 0.162, 0.251)
Mg (0.500, 0.838, 0.249)
Pb (0.000, 0.666, 0.000)
Pb (0.500, 0.334, 0.500)



[11]
Here is a geometry-optimized Mg3Pb structure from Alexandria via LeMat-Bulk. Energies are from GGA-PBEsol.

## Properties
formation energy: -0.01 eV per atom
total energy: -2.298 eV/atom

Unit cell a=3.359 b=3.359 c=10.197 alpha=80.52 beta=80.52 gamma=60.00
Fractional positions:
Pb (0.000, 0.000, 0.000)
Mg (0.751, 0.751, 0.746)
Mg (0.500, 0.500, 0.500)
Mg (0.249, 0.249, 0.254)



[12]
Here is a geometry-optimized Mg2Pb structure from Alexandria via LeMat-Bulk. Energies are from GGA-PBEsol.

## Properties
formation energy: -0.03 eV per atom
total energy: -2.512 eV/atom

Unit cell a=3.372 b=6.148 c=7.570 alpha=101.58 beta=90.00 gamma=105.92
Fractional positions:
Pb (0.958, 0.916, 0.403)
Pb (0.265, 0.531, 0.040)
Mg (0.992, 0.984, 0.999)
Mg (0.332, 0.665, 0.664)
Mg (0.675, 0.351, 0.336)
Mg (0.610, 0.220, 0.725)